Compound: Sc2FeW
Source: Alexandria
Functional: PBE
Structure: relaxed

Unit cell a=5.697 b=8.910 c=2.829 alpha=90.00 beta=106.40 gamma=90.00
Space group C2/m (No. 12)
Inequivalent atoms, fractional coordinates:
Sc  0.250  0.250  0.000
Fe  0.000  0.000  0.500
W  0.000  0.500  0.500

Summary:
As for the total magnetization: 2.19 Bohr magnetons per cell. The density of states at the Fermi level is 1.347 states/eV/atom. The calculation puts the energy above the most stable polymorph in this dataset at 0.3044 eV/atom. Its volume is 17.22 Å³/atom.


Compound: BaCr2Cu
Source: Alexandria
Functional: PBE
Structure: relaxed

Unit cell a=3.421 b=3.421 c=7.119 alpha=90.00 beta=90.00 gamma=90.00
Space group P4/mmm (No. 123)
Inequivalent atoms, fractional coordinates:
Ba  0.000  0.000  0.000
Cr  0.500  0.500  0.372
Cu  0.000  0.000  0.500

Summary:
As for the total magnetization: 0.00 Bohr magnetons per cell. The density of states at the Fermi level is 1.163 states/eV/atom. The calculation puts the energy above the most stable polymorph in this dataset at 0.2133 eV/atom. Its volume is 20.83 Å³/atom.


Compound: LuMgTiTc
Source: Alexandria
Functional: PBE
Structure: relaxed

Unit cell a=6.688 b=6.688 c=6.688 alpha=90.00 beta=90.00 gamma=90.00
Space group F-43m (No. 216)
Inequivalent atoms, fractional coordinates:
Lu  0.000  0.000  0.000
Mg  0.250  0.250  0.750
Ti  0.000  0.000  0.500
Tc  0.250  0.250  0.250

Summary:
As for the total magnetization: 0.00 Bohr magnetons per cell. The density of states at the Fermi level is 1.122 states/eV/atom. For the energy, the calculation gives -6.120 eV per atom. Its volume is 18.70 Å³/atom.


Compound: La2OsF
Source: Alexandria
Functional: PBE
Structure: relaxed

Unit cell a=4.1292 b=4.1292 c=19.5021 alpha=90.00 beta=90.00 gamma=120.00
Space group R-3m (No. 166, hexagonal axes)
Inequivalent atoms, fractional coordinates:
La  0.0000  0.0000  0.2472
Os  0.0000  0.0000  0.5000
F  0.0000  0.0000  0.0000

Summary:
As for the total magnetization: 0.00 Bohr magnetons per cell. The density of states at the Fermi level is 0.694 states/eV/atom. The formation energy without anion corrections comes out at -1.278 eV/atom. The calculation puts the energy above the most stable polymorph in this dataset at 0.0000 eV/atom. Its volume is 24.00 Å³/atom.


Compound: Al2Ag
Source: Alexandria
Functional: PBE
Structure: relaxed

Unit cell a=2.900 b=2.900 c=11.988 alpha=90.00 beta=90.00 gamma=90.00
Space group P4/nmm (No. 129, origin choice 2)
Inequivalent atoms, fractional coordinates:
Al  0.250  0.250  0.082
Al  0.250  0.250  0.755
Ag  0.250  0.250  0.408

Summary:
As for the total magnetization: 0.00 Bohr magnetons per cell. The density of states at the Fermi level is 0.292 states/eV/atom. For the energy, the calculation gives -3.468 eV per atom. Its volume is 16.80 Å³/atom.


Compound: ScCdSi2S
Source: Alexandria
Functional: PBE
Structure: relaxed

Unit cell a=4.904 b=4.904 c=5.066 alpha=90.00 beta=90.00 gamma=90.00
Space group P4/mmm (No. 123)
Inequivalent atoms, fractional coordinates:
Sc  0.000  0.000  0.000
Cd  0.500  0.500  0.500
Si  0.000  0.500  0.500
S  0.500  0.500  0.000

Summary:
As for the total magnetization: 0.00 Bohr magnetons per cell. The density of states at the Fermi level is 1.016 states/eV/atom. The formation energy without anion corrections comes out at 0.816 eV/atom. Its volume is 24.37 Å³/atom.


Compound: Nd4Ag3Au2
Source: Alexandria
Functional: PBE
Structure: relaxed

Unit cell a=8.855 b=5.117 c=9.974 alpha=90.00 beta=90.01 gamma=90.00
Space group C2/m (No. 12)
Inequivalent atoms, fractional coordinates:
Nd  0.000  0.000  0.159
Nd  0.166  0.500  0.380
Ag  0.000  0.000  0.500
Ag  0.167  0.500  0.996
Au  0.167  0.500  0.690

Summary:
As for the total magnetization: 0.00 Bohr magnetons per cell. The density of states at the Fermi level is 0.748 states/eV/atom. For the energy, the calculation gives -4.241 eV per atom. Its volume is 25.11 Å³/atom.


Compound: KMnBr2Cl
Source: Alexandria
Functional: PBE
Structure: relaxed

Unit cell a=5.408 b=5.408 c=4.983 alpha=90.00 beta=90.00 gamma=90.00
Space group P4/mmm (No. 123)
Inequivalent atoms, fractional coordinates:
K  0.000  0.000  0.000
Mn  0.500  0.500  0.500
Br  0.000  0.500  0.500
Cl  0.500  0.500  0.000

Summary:
As for the total magnetization: 5.00 Bohr magnetons per cell. The formation energy without anion corrections comes out at -1.223 eV/atom. The calculation puts the energy above the most stable polymorph in this dataset at 0.0028 eV/atom. Its volume is 29.14 Å³/atom.


Compound: AlTcW
Source: Alexandria
Functional: PBE
Structure: relaxed

Unit cell a=3.119 b=3.119 c=9.232 alpha=90.00 beta=90.00 gamma=90.00
Space group I4mm (No. 107)
Inequivalent atoms, fractional coordinates:
Al  0.000  0.000  0.000
Tc  0.000  0.000  0.668
W  0.000  0.000  0.321

Summary:
As for the total magnetization: 0.00 Bohr magnetons per cell. The density of states at the Fermi level is 0.326 states/eV/atom. The calculation puts the energy above the most stable polymorph in this dataset at 0.0000 eV/atom. Its volume is 14.97 Å³/atom.


Compound: Nb8SnAs2
Source: Alexandria
Functional: PBE
Structure: relaxed

Unit cell a=7.659 b=11.467 c=5.018 alpha=90.00 beta=109.79 gamma=90.00
Space group C2/m (No. 12)
Inequivalent atoms, fractional coordinates:
Nb  0.000  0.249  0.000
Nb  0.112  0.500  0.837
Nb  0.208  0.116  0.613
Sn  0.000  0.000  0.000
As  0.000  0.313  0.500

Summary:
As for the total magnetization: 0.00 Bohr magnetons per cell. The density of states at the Fermi level is 0.633 states/eV/atom. For the energy, the calculation gives -8.691 eV per atom. Its volume is 18.85 Å³/atom.


Compound: CuICl2
Source: Alexandria
Functional: PBE
Structure: relaxed

Unit cell a=7.247 b=7.247 c=7.247 alpha=90.00 beta=90.00 gamma=90.00
Space group Fm-3m (No. 225)
Inequivalent atoms, fractional coordinates:
Cu  0.000  0.000  0.000
I  0.000  0.000  0.500
Cl  0.250  0.250  0.250

Summary:
As for the total magnetization: 0.00 Bohr magnetons per cell. The density of states at the Fermi level is 2.012 states/eV/atom. The formation energy without anion corrections comes out at 0.573 eV/atom. The calculation puts the energy above the most stable polymorph in this dataset at 0.9223 eV/atom. Its volume is 23.79 Å³/atom.


Compound: LaTb5Y4
Source: Alexandria
Functional: PBE
Structure: relaxed

Unit cell a=3.543 b=6.786 c=14.209 alpha=94.19 beta=95.68 gamma=103.31
Space group P-1 (No. 2)
Inequivalent atoms, fractional coordinates:
La  0.000  0.000  0.000
Tb  0.012  0.609  0.404
Tb  0.292  0.134  0.399
Tb  0.500  0.500  0.000
Y  0.180  0.677  0.801
Y  0.477  0.201  0.785

Summary:
As for the total magnetization: 0.00 Bohr magnetons per cell. The density of states at the Fermi level is 1.803 states/eV/atom. The calculation puts the energy above the most stable polymorph in this dataset at 0.0000 eV/atom. Its volume is 32.92 Å³/atom.